Record 1
Material: TaZn3Br
Method: DFT, PBE
State: optimized geometry

Lattice parameters (Å, degrees): 5.2588 5.2588 5.2588 90.00 90.00 90.00
Site moments in Bohr magnetons follow the coordinates.
Fractional coordinates of all 5 atoms:
Zn 0.0000 0.5000 0.0000  0.06
Zn 0.0000 0.0000 0.5000  0.02
Zn 0.5000 0.0000 0.0000  0.06
Br 0.5000 0.5000 0.5000  0.09
Ta 0.0000 0.0000 0.0000  1.12

Properties
E_form (uncorrected) ... 475 kJ/mol of formula units
Final energy ... -12.4 eV per formula unit
Space group ... No. 221
N(E_F) ... 7.4 states/eV/f.u.

---

Record 2
Material: TaZn2Br
Method: DFT, PBE
State: optimized geometry

Lattice parameters (Å, degrees): 5.1126 5.1126 3.0326 89.97 89.97 115.09
Fractional coordinates of all 4 atoms:
Br 0.5000 0.0000 0.5000
Ta 0.0000 0.5000 0.5000
Zn 0.0000 0.0000 0.0000
Zn 0.5000 0.5000 0.0000

Properties
E_form (uncorrected) ... 130 kJ/mol of formula units
Final energy ... -14.7 eV per formula unit
Space group ... No. 65
N(E_F) ... 3.6 states/eV/f.u.

---

Record 3
Material: TaZn2Br
Method: DFT, PBE
State: optimized geometry

Lattice parameters (Å, degrees): 3.0778 3.0778 8.2055 90.00 90.00 105.54
Fractional coordinates of all 4 atoms:
Br 0.5000 0.5000 0.2500
Ta 0.5000 0.5000 0.7500
Zn 0.0000 0.0000 0.9891
Zn 0.0000 0.0000 0.5109

Properties
E_form (uncorrected) ... 87 kJ/mol of formula units
Final energy ... -15.2 eV per formula unit
Space group ... No. 65
N(E_F) ... 1.4 states/eV/f.u.

---

N(E_F) of number 1 (TaZn3Br)? 7.4 states/eV/f.u.